Cu2TcRu | PBEsol | optimized geometry

Lattice parameters (Å, degrees): 3.5713 3.5361 4.7307 111.95 112.18 90.00
Fractional positions:
Cu  0.7500  0.7500  0.5001
Cu  0.2500  0.2500  0.4999
Ru  0.5000  0.0000  0.0000
Tc  0.0000  0.5000  0.0000

Summary:
Offset from the most stable computed form ... 16.1 kJ per mole of atoms
Space group ... Immm
Total magnetization ... 0.00 μB per atom

---

CuTe2Ru | PBEsol | optimized geometry

Lattice parameters (Å, degrees): 3.1847 3.5285 7.0801 90.00 90.00 90.00
Fractional positions:
Cu  0.0000  0.0000  0.5271
Ru  0.5000  0.5000  0.7227
Te  0.0000  0.0000  0.9059
Te  0.5000  0.5000  0.3443

Summary:
E_form (uncorrected) ... 0.09 eV/atom
Offset from the most stable computed form ... 0.0 kJ per mole of atoms
Space group ... Pmm2
Total magnetization ... 0.00 μB per atom

---

Cu2TeRu | PBEsol | optimized geometry

Lattice parameters (Å, degrees): 3.1819 3.4033 5.4615 90.00 90.00 90.00
Fractional positions:
Cu  0.5000  0.0000  0.0389
Cu  0.0000  0.5000  0.2247
Ru  0.5000  0.0000  0.5024
Te  0.0000  0.5000  0.7340

Summary:
E_form (uncorrected) ... 0.21 eV/atom
Space group ... Pmm2
Total magnetization ... 0.00 μB per atom

---

Cu2TeRu | PBEsol | optimized geometry

Lattice parameters (Å, degrees): 3.6920 3.7261 4.9609 112.06 111.85 90.00
Fractional positions:
Cu  0.7496  0.7496  0.4991
Cu  0.2504  0.2504  0.5009
Ru  0.5000  0.0000  0.0000
Te  0.0000  0.5000  0.0000

Summary:
E_form (uncorrected) ... 0.32 eV/atom
Space group ... Immm
Total magnetization ... 0.00 μB per atom

---

Cu2TeRu | PBEsol | optimized geometry

Lattice parameters (Å, degrees): 3.4062 3.4062 5.1277 90.00 90.00 90.00
Fractional positions:
Cu  0.0000  0.0000  0.7626
Cu  0.0000  0.0000  0.2374
Ru  0.5000  0.5000  0.0000
Te  0.5000  0.5000  0.5000

Summary:
E_form (uncorrected) ... 0.38 eV/atom
Space group ... P4/mmm
Total magnetization ... 0.00 μB per atom

---

CuTe2Ru | PBEsol | optimized geometry

Lattice parameters (Å, degrees): 3.2297 3.2287 7.0329 90.00 93.23 90.00
Fractional positions:
Cu  0.5000  0.5000  0.0000
Ru  0.5000  0.5000  0.5000
Te  0.0462  0.0000  0.7378
Te  0.9538  0.0000  0.2622

Summary:
E_form (uncorrected) ... 0.30 eV/atom
Offset from the most stable computed form ... 20.2 kJ per mole of atoms
Space group ... P2/m
Total magnetization ... 0.00 μB per atom

---

CuTeRu2 | PBEsol | optimized geometry

Lattice parameters (Å, degrees): 2.9134 2.9134 8.6559 80.31 80.31 60.00
Fractional positions:
Cu  0.2553  0.2553  0.2341
Ru  0.0013  0.0013  0.9961
Ru  0.7455  0.7455  0.7634
Te  0.4979  0.4979  0.5064

Summary:
E_form (uncorrected) ... 0.55 eV/atom
Space group ... R3m
Total magnetization ... 0.00 μB per atom

---

Cu2TeRu | PBEsol | optimized geometry

Lattice parameters (Å, degrees): 2.8830 2.8830 8.4049 90.00 90.00 115.10
Fractional positions:
Cu  0.0000  0.0000  0.9686
Cu  0.5000  0.5000  0.7533
Ru  0.0000  0.0000  0.5171
Te  0.5000  0.5000  0.2610

Summary:
E_form (uncorrected) ... 0.66 eV/atom
Space group ... Cmm2
Total magnetization ... 0.00 μB per atom

---

CuTeRu2 | PBEsol | optimized geometry

Lattice parameters (Å, degrees): 2.9329 4.8352 5.1071 117.34 105.31 92.80
Fractional positions:
Cu  0.0000  0.5000  0.0000
Ru  0.0000  0.0000  0.5000
Ru  0.5000  0.5000  0.5000
Te  0.5000  0.0000  0.0000

Summary:
E_form (uncorrected) ... 0.58 eV/atom
Space group ... C2/m
Total magnetization ... 0.00 μB per atom

---

TiCu2Ru | PBEsol | optimized geometry

Lattice parameters (Å, degrees): 4.1843 4.1843 4.1843 60.00 60.00 60.00
Fractional positions:
Ru  0.5000  0.5000  0.5000
Cu  0.2500  0.2500  0.2500
Cu  0.7500  0.7500  0.7500
Ti  0.0000  0.0000  0.0000

Summary:
Space group ... Fm-3m
Total magnetization ... 0.00 μB per atom

---

TiZnCuRu2 | PBEsol | optimized geometry

Lattice parameters (Å, degrees): 4.4082 4.4082 4.4510 90.00 90.00 90.00
Site moments in Bohr magnetons follow the coordinates.
Fractional positions:
Ru  0.0000  0.5000  0.0000  0.17
Ru  0.5000  0.0000  0.0000  0.17
Zn  0.5000  0.5000  0.5000  0.00
Cu  0.0000  0.0000  0.5000  0.00
Ti  0.0000  0.0000  0.0000  -0.03

Summary:
Space group ... P4/mmm
Total magnetization ... 0.06 μB per atom

---

Tm2CuRu | PBEsol | optimized geometry

Lattice parameters (Å, degrees): 4.7030 4.7030 4.7030 60.00 60.00 60.00
Fractional positions:
Ru  0.5000  0.5000  0.5000
Tm  0.7500  0.7500  0.7500
Tm  0.2500  0.2500  0.2500
Cu  0.0000  0.0000  0.0000

Summary:
Space group ... Fm-3m
Total magnetization ... 0.00 μB per atom

---

Cu2RuW | PBEsol | optimized geometry

Lattice parameters (Å, degrees): 3.7131 3.7167 4.5722 113.98 113.96 90.00
Fractional positions:
Cu  0.0000  0.0000  0.0001
Cu  0.7500  0.2500  0.4999
Ru  0.5000  0.5000  0.9999
W  0.2500  0.7500  0.5001

Summary:
Offset from the most stable computed form ... 0.0 kJ per mole of atoms
Space group ... I-4m2
Total magnetization ... 0.00 μB per atom

---

CuRuW2 | PBEsol | optimized geometry

Lattice parameters (Å, degrees): 2.7305 2.7305 7.6149 90.00 90.00 90.00
Fractional positions:
Cu  0.0000  0.0000  0.5083
Ru  0.5000  0.5000  0.7432
W  0.0000  0.0000  0.9806
W  0.5000  0.5000  0.2679

Summary:
Offset from the most stable computed form ... 3.9 kJ per mole of atoms
Space group ... P4mm
Total magnetization ... 0.00 μB per atom

---

Cu2RuW | PBEsol | optimized geometry

Lattice parameters (Å, degrees): 2.6445 4.0442 4.9962 90.00 100.65 90.00
Fractional positions:
Cu  0.8352  0.0000  0.0056
Cu  0.9153  0.5000  0.2454
Ru  0.4968  0.0000  0.4924
W  0.2526  0.5000  0.7565

Summary:
Offset from the most stable computed form ... 8.2 kJ per mole of atoms
Space group ... Pm
Total magnetization ... 0.00 μB per atom

---

Cu2RuW | PBEsol | optimized geometry

Lattice parameters (Å, degrees): 3.0795 3.0795 5.5412 90.00 90.00 90.00
Fractional positions:
Cu  0.0000  0.0000  0.0228
Cu  0.5000  0.5000  0.2279
Ru  0.0000  0.0000  0.5026
W  0.5000  0.5000  0.7467

Summary:
Offset from the most stable computed form ... 6.7 kJ per mole of atoms
Space group ... P4mm
Total magnetization ... 0.00 μB per atom

---

CuRuW2 | PBEsol | optimized geometry

Lattice parameters (Å, degrees): 2.7292 2.7292 7.5791 90.00 90.00 89.99
Fractional positions:
Cu  0.5000  0.5000  0.5000
Ru  0.5000  0.5000  0.0000
W  0.0000  0.0000  0.2508
W  0.0000  0.0000  0.7492

Summary:
Offset from the most stable computed form ... 0.0 kJ per mole of atoms
Space group ... P4/mmm
Total magnetization ... 0.00 μB per atom

---

Y2CuRu | PBEsol | optimized geometry

Lattice parameters (Å, degrees): 4.7843 4.7843 4.7843 60.00 60.00 60.00
Fractional positions:
Y  0.7500  0.7500  0.7500
Y  0.2500  0.2500  0.2500
Ru  0.0000  0.0000  0.0000
Cu  0.5000  0.5000  0.5000

Summary:
Space group ... Fm-3m
Total magnetization ... 0.00 μB per atom

---

YCuRu2 | PBEsol | optimized geometry

Lattice parameters (Å, degrees): 4.4550 4.4550 4.4550 60.00 60.00 60.00
Fractional positions:
Cu  0.5000  0.5000  0.5000
Ru  0.0000  0.0000  0.0000
Ru  0.2500  0.2500  0.2500
Y  0.7500  0.7500  0.7500

Summary:
Offset from the most stable computed form ... 4.3 kJ per mole of atoms
Space group ... F-43m
Total magnetization ... 0.00 μB per atom

---

Y2CuRu | PBEsol | optimized geometry

Lattice parameters (Å, degrees): 3.3768 3.3768 6.8565 90.00 90.00 90.00
Fractional positions:
Y  0.0000  0.0000  0.7406
Y  0.0000  0.0000  0.2594
Ru  0.5000  0.5000  0.5000
Cu  0.5000  0.5000  0.0000

Summary:
Space group ... P4/mmm
Total magnetization ... 0.00 μB per atom

---

Number 1: VASP energy -28.78 eV per cell. Number 2: VASP energy -21.21 eV per cell. Number 3: VASP energy -21.53 eV per cell. Number 4: VASP energy -21.10 eV per cell. Number 5: VASP energy -20.85 eV per cell. Number 6: VASP energy -20.37 eV per cell. Number 7: VASP energy -26.00 eV per cell. Number 8: VASP energy -19.72 eV per cell. Number 9: VASP energy -25.87 eV per cell. Number 10: VASP energy -26.98 eV per cell. Number 11: VASP energy -28.74 eV per cell. Number 12: VASP energy -25.78 eV per cell. Number 13: VASP energy -31.94 eV per cell. Number 14: VASP energy -40.99 eV per cell. Number 15: VASP energy -31.60 eV per cell. Number 16: VASP energy -31.66 eV per cell. Number 17: VASP energy -41.15 eV per cell. Number 18: VASP energy -29.27 eV per cell. Number 19: VASP energy -30.77 eV per cell. Number 20: VASP energy -29.30 eV per cell.